Entry from Alexandria: crystalline BeZnFeNi at its relaxed geometry (PBE-GGA).

abc: 3.983 3.983 3.983
angles: 60.00 60.00 60.00
Fractional positions:
Ni 0.000 0.000 0.000
Zn 0.250 0.250 0.250
Fe 0.750 0.750 0.750
Be 0.500 0.500 0.500

Properties
Final energy: -19.37 eV per cell
DOS(E_F): 2.93 states/eV/cell